This record from the Alexandria database describes an optimized crystal structure of CaSi2Pt. The functional is PBE-GGA.

- formation energy (no corrections) (kJ/mol of formula units) = -189.1
- calculated volume (A^3/atom) = 22.663
- space-group type = I-42d, No. 122

Unit cell a=8.8717 b=8.8717 c=8.8717 alpha=149.32 beta=149.32 gamma=43.94
With the nearest neighbours (Å) after each atom.
Atoms (fractional coordinates):
Ca  0.0000  0.0000  0.0000  8 Si 3.27-3.40, 4 Pt 3.32
Ca  0.7500  0.2500  0.5000  8 Si 3.27-3.40, 4 Pt 3.32
Si  0.3563  0.6250  0.2313  2 Si 2.35, 2 Pt 2.37
Si  0.3750  0.6063  0.7313  2 Si 2.35, 2 Pt 2.37
Si  0.3937  0.1250  0.7687  2 Si 2.35, 2 Pt 2.37
Si  0.8750  0.6437  0.2687  2 Si 2.35, 2 Pt 2.37
Pt  0.2500  0.7500  0.5000  4 Si 2.37
Pt  0.5000  0.5000  0.0000  4 Si 2.37